No. 1
Entry from Alexandria: a geometry-optimized Er3PaSe6 structure (GGA-PBE).

Computed properties:
* spin magnetization: 1.50 μB per formula unit
* uncorrected formation energy: -17.121 eV per formula unit
* electronic total energy: -6.12 eV/atom
* symmetry: P2_1/m (11)

abc: 11.483 4.039 11.766
angles: 90.00 108.35 90.00
Fractional positions:
Er (0.070, 0.250, 0.165)
Er (0.179, 0.750, 0.500)
Er (0.342, 0.250, 0.920)
Er (0.658, 0.750, 0.080)
Er (0.821, 0.250, 0.500)
Er (0.930, 0.750, 0.835)
Pa (0.454, 0.250, 0.303)
Pa (0.546, 0.750, 0.697)
Se (0.018, 0.250, 0.382)
Se (0.104, 0.250, 0.935)
Se (0.246, 0.750, 0.276)
Se (0.306, 0.750, 0.748)
Se (0.385, 0.250, 0.535)
Se (0.417, 0.750, 0.099)
Se (0.583, 0.250, 0.901)
Se (0.615, 0.750, 0.465)
Se (0.694, 0.250, 0.252)
Se (0.754, 0.250, 0.724)
Se (0.896, 0.750, 0.065)
Se (0.982, 0.750, 0.618)


No. 2
Entry from Alexandria: a geometry-optimized ErPa3Se4 structure (GGA-PBE).

Computed properties:
* spin magnetization: 0.87 μB per formula unit
* uncorrected formation energy: -10.553 eV per formula unit
* electronic total energy: -7.19 eV/atom
* symmetry: P2/c (13)

abc: 7.309 8.026 6.802
angles: 90.00 108.84 90.00
Fractional positions:
Er (0.000, 0.125, 0.250)
Er (0.000, 0.875, 0.750)
Pa (0.000, 0.379, 0.750)
Pa (0.000, 0.621, 0.250)
Pa (0.500, 0.125, 0.750)
Pa (0.500, 0.378, 0.250)
Pa (0.500, 0.622, 0.750)
Pa (0.500, 0.875, 0.250)
Se (0.243, 0.123, 0.999)
Se (0.243, 0.877, 0.499)
Se (0.246, 0.370, 0.497)
Se (0.246, 0.630, 0.997)
Se (0.754, 0.370, 0.003)
Se (0.754, 0.630, 0.503)
Se (0.757, 0.123, 0.501)
Se (0.757, 0.877, 0.001)


No. 3
Entry from Alexandria: a geometry-optimized ErPaSe4 structure (GGA-PBE).

Computed properties:
* spin magnetization: 0.07 μB per formula unit
* energy relative to the lowest polymorph listed for this composition: 0.56 eV per formula unit
* uncorrected formation energy: -8.736 eV per formula unit
* electronic total energy: -6.12 eV/atom
* symmetry: Cmmm (65)

abc: 6.586 6.586 4.263
angles: 90.00 90.00 91.10
Fractional positions:
Er (0.000, 0.000, 0.000)
Pa (0.500, 0.500, 0.500)
Se (0.201, 0.201, 0.500)
Se (0.308, 0.692, 0.000)
Se (0.692, 0.308, 0.000)
Se (0.799, 0.799, 0.500)